{
  "formula": "SrRe2Ge",
  "functional": "PBE-GGA",
  "state": "relaxed",
  "lattice_angstrom": [[-2.379, 2.379, 8.914], [2.379, -2.379, 8.914], [2.379, 2.379, -8.914]],
  "species": ["Sr", "Sr", "Re", "Re", "Re", "Re", "Ge", "Ge"],
  "fractional_positions": [[0.000, 0.000, 0.000], [0.750, 0.250, 0.500], [0.325, 0.125, 0.700], [0.375, 0.675, 0.800], [0.425, 0.625, 0.300], [0.875, 0.575, 0.200], [0.250, 0.750, 0.500], [0.500, 0.500, 0.000]]
}

{
  "formula": "NpZnRuRh",
  "functional": "PBE-GGA",
  "state": "relaxed",
  "lattice_angstrom": [[0.000, 3.215, 3.215], [3.215, 0.000, 3.215], [3.215, 3.215, 0.000]],
  "species": ["Np", "Zn", "Ru", "Rh"],
  "fractional_positions": [[0.000, 0.000, 0.000], [0.500, 0.500, 0.500], [0.750, 0.750, 0.750], [0.250, 0.250, 0.250]]
}

{
  "formula": "Er4PuRh5",
  "functional": "PBE-GGA",
  "state": "relaxed",
  "lattice_angstrom": [[3.343, 0.000, 0.000], [0.000, 3.343, 0.000], [0.000, 0.000, 17.380]],
  "species": ["Er", "Er", "Er", "Er", "Pu", "Rh", "Rh", "Rh", "Rh", "Rh"],
  "fractional_positions": [[0.000, 0.000, 0.100], [0.000, 0.000, 0.299], [0.000, 0.000, 0.701], [0.000, 0.000, 0.900], [0.000, 0.000, 0.500], [0.500, 0.500, 0.000], [0.500, 0.500, 0.200], [0.500, 0.500, 0.406], [0.500, 0.500, 0.594], [0.500, 0.500, 0.800]]
}

{
  "formula": "PuThCd4",
  "functional": "PBE-GGA",
  "state": "relaxed",
  "de_polymorph_ev_per_atom": 0.071,
  "lattice_angstrom": [[0.000, 4.220, 4.220], [4.220, 0.000, 4.220], [4.220, 4.220, 0.000]],
  "species": ["Pu", "Th", "Cd", "Cd", "Cd", "Cd"],
  "fractional_positions": [[0.000, 0.000, 0.000], [0.750, 0.750, 0.750], [0.375, 0.375, 0.375], [0.375, 0.375, 0.875], [0.375, 0.875, 0.375], [0.875, 0.375, 0.375]]
}

{
  "formula": "PaTaMo2",
  "functional": "PBE-GGA",
  "state": "relaxed",
  "de_polymorph_ev_per_atom": 0.062,
  "lattice_angstrom": [[3.344, 0.000, 0.000], [0.000, 3.344, 0.000], [0.000, 0.000, 6.649]],
  "species": ["Pa", "Ta", "Mo", "Mo"],
  "fractional_positions": [[0.000, 0.000, 0.000], [0.000, 0.000, 0.500], [0.500, 0.500, 0.258], [0.500, 0.500, 0.742]]
}

| no. | D(E_F) (states/eV per atom) | formation energy (eV per formula unit) |
| --- | --- | --- |
| 1 | 0.85 | 2.9 |
| 2 | 1.30 | -1.1 |
| 3 | 1.32 | -6.4 |
| 4 | 2.70 | -0.4 |
| 5 | 0.89 | 0.1 |